Density functional theory data (PBE+U) for a relaxed structure of TlIn2FeO6.

The space group is R3 (No. 146, hexagonal axes) and the conventional cell measures 5.5335, 5.5335 and 14.6719 Å, with angles of 90.00, 90.00 and 120.00 degrees. Symmetry generates all atoms from Tl at (0.0000, 0.0000, 0.0000), In at (0.0000, 0.0000, 0.2741), In at (0.0000, 0.0000, 0.7829), Fe at (0.0000, 0.0000, 0.4875), O at (0.0132, 0.2877, 0.3880) and O at (0.0288, 0.6868, 0.5478).

As for the total energy: -168.230 eV/cell.